KZnBr: optimized geometry, GGA-PBE.

Geometry as POSCAR:
```
KZnBr
1.0
-2.132 4.353 -2.616
1.128 0.836 -5.326
-3.929 -0.719 -3.793
Br K Zn
1 1 1
direct
0.000 0.000 0.000
0.500 0.500 0.500
0.750 0.750 0.750
```

Properties
Energy relative to the elements, uncorrected (eV/atom): -0.6051
Total moment (μB/f.u.): 0.00
Calculated volume (Å³/atom): 39.4
Excess energy over the best structure of this formula in the dataset (eV per formula unit): 0.41
Density (kg/m3): 2592